This record from Alexandria describes an optimized crystal structure of BaCrW2. The functional is PBE.

Cell: 6.025 6.025 6.025 Å, 151.99 127.85 60.23°
Site moments in Bohr magnetons follow the coordinates.
Atoms (fractional coordinates):
1 Ba 0.750 0.250 0.500  0.04
2 Cr 0.250 0.750 0.500  1.47
3 W 0.046 0.046 0.000  -0.20
4 W 0.454 0.454 0.000  -0.20

Summary:
**SG**: Immm (71)
**Crystal system**: orthorhombic
**Calculated formation energy**: 1343.3 meV/atom
**Energy relative to the lowest polymorph listed for this composition**: 484.8 meV/atom

***

This record from Alexandria describes an optimized crystal structure of Ga3IrRu. The functional is PBE.

Cell: 4.739 4.739 4.739 Å, 90.00 90.00 90.00°
Site moments in Bohr magnetons follow the coordinates.
Atoms (fractional coordinates):
1 Ru 0.500 0.500 0.500  2.07
2 Ir 0.000 0.000 0.000  0.13
3 Ga 0.000 0.500 0.000  0.02
4 Ga 0.000 0.000 0.500  0.03
5 Ga 0.500 0.000 0.000  0.02

Summary:
**SG**: Pm-3m (221)
**Crystal system**: cubic
**Calculated formation energy**: 572.8 meV/atom
**Energy relative to the lowest polymorph listed for this composition**: 0.0 meV/atom

***

This record from Alexandria describes an optimized crystal structure of FeSbPtCl2. The functional is PBE.

Cell: 4.289 6.108 4.289 Å, 90.00 90.00 90.00°
Site moments in Bohr magnetons follow the coordinates.
Atoms (fractional coordinates):
1 Sb 0.000 0.500 0.000  -0.09
2 Fe 0.000 0.000 0.000  2.73
3 Pt 0.500 0.500 0.500  -0.02
4 Cl 0.000 0.000 0.500  0.08
5 Cl 0.500 0.000 0.000  0.18

Summary:
**SG**: P4/mmm (123)
**Crystal system**: tetragonal
**Formation energy from raw total energies**: 0.207 eV per atom

***

This record from Alexandria describes an optimized crystal structure of Sc2TaBr. The functional is PBE.

Cell: 5.386 5.386 5.386 Å, 132.32 132.32 69.73°
Atoms (fractional coordinates):
1 Br 0.750 0.250 0.500
2 Sc 0.000 0.000 0.000
3 Sc 0.500 0.500 0.000
4 Ta 0.250 0.750 0.500

Summary:
**SG**: I4/mmm (139)
**Crystal system**: tetragonal
**Formation energy from raw total energies**: 0.400 eV per atom
**Energy relative to the lowest polymorph listed for this composition**: 702.3 meV/atom

***

This record from Alexandria describes an optimized crystal structure of TbEr3Pb. The functional is PBE.

Cell: 8.553 8.827 9.491 Å, 121.36 90.00 90.00°
Atoms (fractional coordinates):
1 Tb 0.936 0.703 0.289
2 Tb 0.064 0.297 0.711
3 Tb 0.436 0.297 0.211
4 Tb 0.564 0.703 0.789
5 Er 0.089 0.092 0.298
6 Er 0.911 0.908 0.702
7 Er 0.589 0.908 0.202
8 Er 0.411 0.092 0.798
9 Er 0.565 0.724 0.440
10 Er 0.435 0.276 0.560
11 Er 0.065 0.276 0.060
12 Er 0.935 0.724 0.940
13 Er 0.192 0.579 0.542
14 Er 0.808 0.421 0.458
15 Er 0.692 0.421 0.958
16 Er 0.308 0.579 0.042
17 Pb 0.248 0.902 0.456
18 Pb 0.752 0.098 0.544
19 Pb 0.748 0.098 0.044
20 Pb 0.252 0.902 0.956

Summary:
**SG**: P2_1/c (14)
**Crystal system**: monoclinic
**Calculated formation energy**: -137.3 meV/atom

***

This record from Alexandria describes an optimized crystal structure of NiHgCl2. The functional is PBE.

Cell: 7.034 7.034 7.034 Å, 148.95 148.95 44.48°
Site moments in Bohr magnetons follow the coordinates.
Atoms (fractional coordinates):
1 Ni 0.750 0.250 0.500  0.86
2 Hg 0.500 0.500 0.000  0.01
3 Cl 0.000 0.000 0.000  -0.01
4 Cl 0.250 0.750 0.500  0.04

Summary:
**SG**: I-4m2 (119)
**Crystal system**: tetragonal
**Formation energy from raw total energies**: 0.177 eV per atom
**Energy relative to the lowest polymorph listed for this composition**: 604.2 meV/atom

***

This record from Alexandria describes an optimized crystal structure of NdYHgPb. The functional is PBE.

Cell: 5.424 5.424 5.424 Å, 60.00 60.00 60.00°
Atoms (fractional coordinates):
1 Pb 0.000 0.000 0.000
2 Y 0.750 0.750 0.750
3 Nd 0.250 0.250 0.250
4 Hg 0.500 0.500 0.500

Summary:
**SG**: F-43m (216)
**Crystal system**: cubic
**Calculated formation energy**: -493.5 meV/atom

***

This record from Alexandria describes an optimized crystal structure of KCdAg2. The functional is PBE.

Cell: 3.656 3.656 7.755 Å, 90.00 90.00 90.00°
Atoms (fractional coordinates):
1 Ag 0.000 0.000 0.067
2 Ag 0.000 0.000 0.433
3 Cd 0.500 0.500 0.250
4 K 0.500 0.500 0.750

Summary:
**SG**: P4/mmm (123)
**Crystal system**: tetragonal
**Calculated formation energy**: 80.8 meV/atom
**Energy relative to the lowest polymorph listed for this composition**: 116.9 meV/atom